Record 1
Pm4GaPS2 | PBE-GGA | relaxed

Energy relative to the elements, uncorrected = -35.59 kcal/mol of atoms
DOS(E_F) = 2.80 states/eV per cell
Electronic total energy = -6.005 eV/atom
SG = No. 10

Lattice parameters (Å, degrees): 7.1833 4.0675 7.1858 90.00 108.92 90.00
Closest atoms and distances in Å follow each position.
Element x y z (fractional)
Pm (0.2420, 0.0000, 0.2440)  3 S 2.87-2.94, 1 P 2.91, 2 Ga 2.96
Pm (0.2443, 0.5000, 0.7471)  2 P 2.89, 3 S 2.91-2.94, 1 Ga 2.94
Pm (0.7557, 0.5000, 0.2529)  2 P 2.89, 3 S 2.91-2.94, 1 Ga 2.94
Pm (0.7580, 0.0000, 0.7560)  3 S 2.87-2.94, 1 P 2.91, 2 Ga 2.96
Ga (0.5000, 0.5000, 0.5000)  6 Pm 2.94-2.96
P (0.0000, 0.0000, 0.5000)  6 Pm 2.89-2.91
S (0.0000, 0.5000, 0.0000)  6 Pm 2.87-2.91
S (0.5000, 0.0000, 0.0000)  6 Pm 2.94

***

Record 2
TmCo3H | PBE-GGA | relaxed

DOS(E_F) = 6.28 states/eV per cell
Electronic total energy = -5.857 eV/atom
SG = No. 221

Lattice parameters (Å, degrees): 3.8410 3.8410 3.8410 90.00 90.00 90.00
Closest atoms and distances in Å follow each position.
Element x y z (fractional)
Tm (0.0000, 0.0000, 0.0000)  12 Co 2.72
Co (0.0000, 0.5000, 0.5000)  2 H 1.92
Co (0.5000, 0.0000, 0.5000)  2 H 1.92
Co (0.5000, 0.5000, 0.0000)  2 H 1.92
H (0.5000, 0.5000, 0.5000)  6 Co 1.92

***

Record 3
YCoAg3 | PBE-GGA | relaxed

Formation energy from the elements = 146 kJ per mole of atoms
DOS(E_F) = 3.22 states/eV per cell
Electronic total energy = -2.913 eV/atom
SG = No. 221
Distance to the lowest polymorph of the same formula = 1073.8 meV/atom

Lattice parameters (Å, degrees): 5.3878 5.3878 5.3878 90.00 90.00 90.00
Closest atoms and distances in Å follow each position.
Element x y z (fractional)
Y (0.0000, 0.0000, 0.0000)  6 Ag 2.69
Co (0.5000, 0.5000, 0.5000)  12 Ag 3.81
Ag (0.0000, 0.0000, 0.5000)  2 Y 2.69
Ag (0.0000, 0.5000, 0.0000)  2 Y 2.69
Ag (0.5000, 0.0000, 0.0000)  2 Y 2.69

***

Record 4
Tb5Tm2Zr | PBE-GGA | relaxed

Formation energy from the elements = 4 kJ per mole of atoms
DOS(E_F) = 29.02 states/eV per cell
Electronic total energy = -5.036 eV/atom
SG = No. 1

Lattice parameters (Å, degrees): 6.1351 6.6137 13.9613 89.51 77.41 62.43
Closest atoms and distances in Å follow each position.
Element x y z (fractional)
Tb (0.0000, 0.0000, 0.0000)  3 Zr 3.36-3.54, 3 Tm 3.38-3.57, 6 Tb 3.40-3.67
Tb (0.0149, 0.0645, 0.5522)  4 Tm 3.46-3.57, 8 Tb 3.46-3.69
Tb (0.1113, 0.3875, 0.3601)  1 Zr 3.36, 7 Tb 3.40-3.58, 4 Tm 3.47-3.64
Tb (0.1339, 0.4504, 0.9398)  3 Zr 3.31-3.55, 7 Tb 3.40-3.60, 2 Tm 3.42-3.70
Tb (0.2378, 0.7493, 0.7416)  4 Tm 3.45-3.55, 8 Tb 3.47-3.67
Tb (0.2807, 0.8030, 0.2936)  3 Zr 3.31-3.54, 3 Tm 3.41-3.48, 6 Tb 3.42-3.69
Tb (0.4892, 0.4981, 0.4902)  8 Tb 3.46-3.58, 4 Tm 3.47-3.62
Tb (0.6130, 0.8653, 0.8723)  1 Zr 3.39, 8 Tb 3.40-3.67, 3 Tm 3.51-3.61
Tb (0.6429, 0.9382, 0.4209)  8 Tb 3.40-3.61, 3 Tm 3.47-3.69, 1 Zr 3.56
Tb (0.7617, 0.3122, 0.8116)  8 Tb 3.40-3.68, 3 Tm 3.53-3.59, 1 Zr 3.58
Tm (0.3898, 0.1874, 0.6809)  10 Tb 3.45-3.70, 2 Tm 3.46-3.50
Tm (0.3914, 0.1255, 0.1172)  4 Zr 3.39-3.45, 6 Tb 3.41-3.57, 2 Tm 3.44-3.57
Tm (0.7564, 0.2532, 0.2348)  3 Zr 3.34-3.56, 7 Tb 3.38-3.64, 2 Tm 3.44-3.57
Tm (0.8615, 0.6261, 0.6167)  2 Tm 3.46-3.50, 10 Tb 3.46-3.63
Zr (0.5072, 0.5717, 0.0615)  7 Tb 3.31-3.58, 3 Tm 3.34-3.45, 2 Zr 3.45
Zr (0.8988, 0.6774, 0.1730)  6 Tb 3.31-3.56, 4 Tm 3.36-3.56, 2 Zr 3.45

***

Record 5
MgTi2Nb2Ir5 | PBE-GGA | relaxed

Formation energy from the elements = -33 kJ per mole of atoms
DOS(E_F) = 16.35 states/eV per cell
Electronic total energy = -8.523 eV/atom
SG = No. 127

Lattice parameters (Å, degrees): 9.2029 9.2029 3.8253 90.00 90.00 90.00
Closest atoms and distances in Å follow each position.
Element x y z (fractional)
Mg (0.0000, 0.0000, 0.0000)  8 Ir 2.74
Mg (0.5000, 0.5000, 0.0000)  8 Ir 2.74
Ti (0.1261, 0.3739, 0.0000)  6 Ir 2.52-2.54, 3 Nb 2.59-2.80
Ti (0.3739, 0.8739, 0.0000)  6 Ir 2.52-2.54, 3 Nb 2.59-2.80
Ti (0.6261, 0.1261, 0.0000)  6 Ir 2.52-2.54, 3 Nb 2.59-2.80
Ti (0.8739, 0.6261, 0.0000)  6 Ir 2.52-2.54, 3 Nb 2.59-2.80
Nb (0.1746, 0.6746, 0.0000)  3 Ti 2.59-2.80
Nb (0.3254, 0.1746, 0.0000)  3 Ti 2.59-2.80
Nb (0.6746, 0.8254, 0.0000)  3 Ti 2.59-2.80
Nb (0.8254, 0.3254, 0.0000)  3 Ti 2.59-2.80
Ir (0.0000, 0.5000, 0.5000)  4 Ti 2.52, 4 Ir 2.79
Ir (0.0652, 0.2036, 0.5000)  2 Ti 2.54, 2 Mg 2.74, 3 Ir 2.78-2.79
Ir (0.2036, 0.9348, 0.5000)  2 Ti 2.54, 2 Mg 2.74, 3 Ir 2.78-2.79
Ir (0.2964, 0.4348, 0.5000)  2 Ti 2.54, 2 Mg 2.74, 3 Ir 2.78-2.79
Ir (0.4348, 0.7036, 0.5000)  2 Ti 2.54, 2 Mg 2.74, 3 Ir 2.78-2.79
Ir (0.5000, 0.0000, 0.5000)  4 Ti 2.52, 4 Ir 2.79
Ir (0.5652, 0.2964, 0.5000)  2 Ti 2.54, 2 Mg 2.74, 3 Ir 2.78-2.79
Ir (0.7036, 0.5652, 0.5000)  2 Ti 2.54, 2 Mg 2.74, 3 Ir 2.78-2.79
Ir (0.7964, 0.0652, 0.5000)  2 Ti 2.54, 2 Mg 2.74, 3 Ir 2.78-2.79
Ir (0.9348, 0.7964, 0.5000)  2 Ti 2.54, 2 Mg 2.74, 3 Ir 2.78-2.79

***

Record 6
BaSiNCl2 | PBE-GGA | relaxed

Energy relative to the elements, uncorrected = 8.67 kcal/mol of atoms
DOS(E_F) = 4.86 states/eV per cell
Electronic total energy = -3.497 eV/atom
SG = No. 123

Lattice parameters (Å, degrees): 5.9826 5.9826 5.4003 90.00 90.00 90.00
Closest atoms and distances in Å follow each position.
Element x y z (fractional)
Ba (0.0000, 0.0000, 0.0000)  2 N 2.70, 4 Cl 2.99
Si (0.5000, 0.5000, 0.5000)  8 Cl 4.03, 4 N 4.23
N (0.0000, 0.0000, 0.5000)  2 Ba 2.70
Cl (0.0000, 0.5000, 0.0000)  2 Ba 2.99
Cl (0.5000, 0.0000, 0.0000)  2 Ba 2.99

***

Record 7
NaPH2 | PBE-GGA | relaxed

DOS(E_F) = 0.00 states/eV per cell
Electronic total energy = -3.559 eV/atom
SG = No. 62
Distance to the lowest polymorph of the same formula = 11.4 meV/atom

Lattice parameters (Å, degrees): 13.4567 4.8083 3.9084 90.00 90.00 90.00
Closest atoms and distances in Å follow each position.
Element x y z (fractional)
Na (0.1015, 0.2500, 0.1656)  3 H 2.59-2.61
Na (0.3985, 0.7500, 0.6656)  3 H 2.59-2.61
Na (0.6015, 0.2500, 0.3344)  3 H 2.59-2.61
Na (0.8985, 0.7500, 0.8344)  3 H 2.59-2.61
P (0.1155, 0.7500, 0.7005)  2 H 1.43
P (0.3845, 0.2500, 0.2005)  2 H 1.43
P (0.6155, 0.7500, 0.7995)  2 H 1.43
P (0.8845, 0.2500, 0.2995)  2 H 1.43
H (0.1529, 0.7500, 0.3581)  1 P 1.43
H (0.2131, 0.7500, 0.8473)  1 P 1.43
H (0.2869, 0.2500, 0.3473)  1 P 1.43
H (0.3471, 0.2500, 0.8581)  1 P 1.43
H (0.6529, 0.7500, 0.1419)  1 P 1.43
H (0.7131, 0.7500, 0.6527)  1 P 1.43
H (0.7869, 0.2500, 0.1527)  1 P 1.43
H (0.8471, 0.2500, 0.6419)  1 P 1.43

***

Record 8
BaIn2Ru | PBE-GGA | relaxed

Formation energy from the elements = 8 kJ per mole of atoms
DOS(E_F) = 3.04 states/eV per cell
Electronic total energy = -4.085 eV/atom
SG = No. 99

Lattice parameters (Å, degrees): 3.6471 3.6471 8.0135 90.00 90.00 90.00
Closest atoms and distances in Å follow each position.
Element x y z (fractional)
Ba (0.0000, 0.0000, 0.0000)  1 In 3.34, 4 Ru 3.52, 4 Ba 3.65
In (0.0000, 0.0000, 0.5835)  4 Ru 2.74
In (0.5000, 0.5000, 0.3414)  1 Ru 2.88
Ru (0.5000, 0.5000, 0.7004)  5 In 2.74-2.88

***

- DOS(E_F) of number 5 (MgTi2Nb2Ir5)?
  16.35 states/eV per cell

***

What did the eighth record say?
BaIn2Ru | PBE-GGA | relaxed

Formation energy from the elements = 8 kJ per mole of atoms
DOS(E_F) = 3.04 states/eV per cell
Electronic total energy = -4.085 eV/atom
SG = No. 99

Lattice parameters (Å, degrees): 3.6471 3.6471 8.0135 90.00 90.00 90.00
Closest atoms and distances in Å follow each position.
Element x y z (fractional)
Ba (0.0000, 0.0000, 0.0000)  1 In 3.34, 4 Ru 3.52, 4 Ba 3.65
In (0.0000, 0.0000, 0.5835)  4 Ru 2.74
In (0.5000, 0.5000, 0.3414)  1 Ru 2.88
Ru (0.5000, 0.5000, 0.7004)  5 In 2.74-2.88